## P
AcTmS3: optimized geometry, PBE.

The value obtained for the total moment is 0.000 μB/f.u. Its calculated volume is 24.59 Å³ per atom.

The space group is Pmmn (No. 59, origin choice 2) and the conventional cell measures 4.121, 6.708 and 8.895 Å, with angles of 90.00, 90.00 and 90.00 degrees. Symmetry generates all atoms from Ac at (0.250, 0.250, 0.150), Tm at (0.250, 0.750, 0.403), S at (0.250, 0.512, 0.656) and S at (0.250, 0.750, 0.082).


## Q
AcTmS3: optimized geometry, PBE.

The value obtained for the total moment is 0.000 μB/f.u. Its calculated volume is 24.68 Å³ per atom.

The space group is Pnma (No. 62) and the conventional cell measures 8.318, 4.074 and 14.564 Å, with angles of 90.00, 90.00 and 90.00 degrees. Symmetry generates all atoms from Ac at (0.117, 0.250, 0.189), Tm at (0.180, 0.750, 0.452), S at (0.004, 0.750, 0.611), S at (0.161, 0.750, 0.036) and S at (0.168, 0.250, 0.791).


If we sort the structures by their calculated energies, the order from most to least stable is Q, P.


## P
AcUS2: optimized geometry, PBE.

The value obtained for the total moment is 3.640 μB/f.u. Its calculated volume is 22.51 Å³ per atom. The calculation puts the density of states at the Fermi level at 6.64 states/eV/cell.

The space group is P4/mmm (No. 123) and the conventional cell measures 3.543, 3.543 and 7.174 Å, with angles of 90.00, 90.00 and 90.00 degrees. Symmetry generates all atoms from Ac at (0.000, 0.000, 0.000), U at (0.000, 0.000, 0.500) and S at (0.500, 0.500, 0.270).


## Q
AcUS2: optimized geometry, PBE.

The value obtained for the total moment is 2.791 μB/f.u. Its calculated volume is 24.31 Å³ per atom. The calculation puts the density of states at the Fermi level at 20.55 states/eV/cell.

The space group is R-3m (No. 166, hexagonal axes) and the conventional cell measures 4.0189, 4.0189 and 20.8532 Å, with angles of 90.00, 90.00 and 120.00 degrees. Symmetry generates all atoms from Ac at (0.0000, 0.0000, 0.0000), U at (0.0000, 0.0000, 0.5000) and S at (0.0000, 0.0000, 0.2405).


If we sort the structures by their calculated energies, the order from most to least stable is Q, P.


## P
Ac2US5: optimized geometry, PBE.

The value obtained for the total moment is 2.000 μB/f.u. Its calculated volume is 34.63 Å³ per atom. The calculation puts the density of states at the Fermi level at 15.06 states/eV/cell.

The space group is Cmcm (No. 63) and the conventional cell measures 5.530, 14.520 and 13.800 Å, with angles of 90.00, 90.00 and 90.00 degrees. Symmetry generates all atoms from Ac at (0.000, 0.144, 0.068), U at (0.000, 0.183, 0.750), S at (0.000, 0.050, 0.621), S at (0.000, 0.268, 0.250) and S at (0.000, 0.294, 0.588).


## Q
Ac2US5: optimized geometry, PBE.

The value obtained for the total moment is 2.001 μB/f.u. Its calculated volume is 25.05 Å³ per atom. The calculation puts the density of states at the Fermi level at 34.85 states/eV/cell.

The space group is Pnma (No. 62) and the conventional cell measures 12.273, 8.455 and 7.724 Å, with angles of 90.00, 90.00 and 90.00 degrees. Symmetry generates all atoms from Ac at (0.173, 0.002, 0.038), U at (0.006, 0.250, 0.558), S at (0.003, 0.250, 0.944), S at (0.087, 0.534, 0.664), S at (0.188, 0.250, 0.344) and S at (0.210, 0.750, 0.322).


If we sort the structures by their calculated energies, the order from most to least stable is Q, P.